No. 1
Entry from Alexandria via LeMat-Bulk: a relaxed structure of Al5Rh (PBE-GGA).

Total magnetic moment: 0.00 μB/f.u.
DFT formation energy: -0.305 eV/atom
Symmetry: Cm, No. 8

a = 5.237 Å, b = 5.237 Å, c = 6.628 Å
α = 71.76°, β = 71.76°, γ = 32.75°
Sites, in units of the cell vectors:
Al1 0.017 0.017 0.002
Al2 0.670 0.670 0.662
Al3 0.322 0.322 0.313
Al4 0.387 0.387 0.747
Al5 0.044 0.044 0.390
Rh1 0.727 0.727 0.052


No. 2
Entry from Alexandria via LeMat-Bulk: a relaxed structure of LiCeCdCu (PBE-GGA).

Total magnetic moment: 0.34 μB/f.u.
DFT formation energy: -0.081 eV/atom
Symmetry: F-43m, No. 216

a = 4.813 Å, b = 4.813 Å, c = 4.813 Å
α = 60.00°, β = 60.00°, γ = 60.00°
Each line ends with the local moment (μB).
Sites, in units of the cell vectors:
Li1 0.000 0.000 0.000  0.00
Cu1 0.500 0.500 0.500  -0.01
Ce1 0.250 0.250 0.250  0.38
Cd1 0.750 0.750 0.750  -0.01


No. 3
Entry from Alexandria via LeMat-Bulk: a relaxed structure of Rb3Sm3NbS8 (PBE-GGA).

Total magnetic moment: 1.01 μB/f.u.
Symmetry: R-3m, No. 166
ΔE_f (raw): -1.61 eV/atom

a = 8.051 Å, b = 8.051 Å, c = 9.130 Å
α = 116.17°, β = 90.00°, γ = 120.00°
Each line ends with the local moment (μB).
Sites, in units of the cell vectors:
Rb1 0.000 0.000 0.000  0.00
Rb2 0.000 0.500 0.000  0.00
Rb3 0.500 0.500 0.000  0.00
Sm1 0.500 0.000 0.500  0.02
Sm2 0.500 0.500 0.500  0.02
Sm3 0.000 0.500 0.500  0.02
Nb1 0.000 0.000 0.500  0.78
S1 0.268 0.535 0.303  0.00
S2 0.732 0.465 0.697  0.00
S3 0.786 0.573 0.317  -0.01
S4 0.214 0.427 0.683  -0.01
S5 0.786 0.030 0.317  -0.01
S6 0.214 0.970 0.683  -0.01
S7 0.244 0.030 0.317  -0.01
S8 0.756 0.970 0.683  -0.01


No. 4
Entry from Alexandria via LeMat-Bulk: a relaxed structure of K2UAgSe4 (PBE-GGA).

Total magnetic moment: 0.97 μB/f.u.
Symmetry: P2/m, No. 10
ΔE_f (raw): -0.97 eV/atom

a = 4.250 Å, b = 7.151 Å, c = 8.019 Å
α = 108.88°, β = 90.00°, γ = 90.00°
Each line ends with the local moment (μB).
Sites, in units of the cell vectors:
K1 0.500 0.000 0.500  0.00
K2 0.000 0.500 0.500  0.00
U1 0.500 0.500 0.000  1.32
Ag1 0.000 0.000 0.000  -0.03
Se1 0.500 0.250 0.193  -0.07
Se2 0.500 0.750 0.807  -0.07
Se3 0.000 0.284 0.792  -0.05
Se4 0.000 0.716 0.208  -0.05


No. 5
Entry from Alexandria via LeMat-Bulk: a relaxed structure of Sm6Ge3Te (PBE-GGA).

Total magnetic moment: 0.85 μB/f.u.
Symmetry: Cmc2_1, No. 36
ΔE_f (raw): -0.71 eV/atom

a = 7.525 Å, b = 9.129 Å, c = 9.129 Å
α = 104.17°, β = 90.00°, γ = 90.00°
Each line ends with the local moment (μB).
Sites, in units of the cell vectors:
Sm1 0.151 0.713 0.637  0.07
Sm2 0.651 0.637 0.713  0.07
Sm3 0.242 0.465 0.907  0.07
Sm4 0.742 0.907 0.465  0.07
Sm5 0.265 0.007 0.993  0.01
Sm6 0.615 0.246 0.754  0.08
Sm7 0.115 0.754 0.246  0.08
Sm8 0.765 0.993 0.007  0.01
Sm9 0.242 0.093 0.535  0.07
Sm10 0.742 0.535 0.093  0.07
Sm11 0.151 0.363 0.287  0.07
Sm12 0.651 0.287 0.363  0.07
Ge1 0.479 0.926 0.714  0.00
Ge2 0.979 0.714 0.926  0.00
Ge3 0.364 0.414 0.586  0.00
Ge4 0.864 0.586 0.414  0.00
Ge5 0.979 0.074 0.286  0.00
Ge6 0.479 0.286 0.074  0.00
Te1 0.997 0.174 0.826  0.00
Te2 0.497 0.826 0.174  0.00


No. 6
Entry from Alexandria via LeMat-Bulk: a relaxed structure of BeAsPtBr2 (PBE-GGA).

Total magnetic moment: 0.00 μB/f.u.
Symmetry: P4/mmm, No. 123
Energy above the most stable polymorph in this dataset: 0.078 eV/atom
ΔE_f (raw): 0.73 eV/atom

a = 5.307 Å, b = 5.307 Å, c = 4.760 Å
α = 90.00°, β = 90.00°, γ = 90.00°
Sites, in units of the cell vectors:
Be1 0.500 0.500 0.500
As1 0.000 0.000 0.500
Br1 0.000 0.500 0.000
Br2 0.500 0.000 0.000
Pt1 0.000 0.000 0.000


No. 7
Entry from Alexandria via LeMat-Bulk: a relaxed structure of Ti2InNiC (PBE-GGA).

Total magnetic moment: 0.00 μB/f.u.
DFT formation energy: 0.569 eV/atom
Symmetry: P4/mmm, No. 123
Energy above the most stable polymorph in this dataset: 0.903 eV/atom

a = 4.822 Å, b = 3.519 Å, c = 4.822 Å
α = 90.00°, β = 90.00°, γ = 90.00°
Sites, in units of the cell vectors:
Ni1 0.000 0.000 0.000
C1 0.000 0.500 0.000
Ti1 0.000 0.000 0.500
Ti2 0.500 0.000 0.000
In1 0.500 0.500 0.500


No. 8
Entry from Alexandria via LeMat-Bulk: a relaxed structure of Sr3Pr2UP6 (PBE-GGA).

Total magnetic moment: 0.00 μB/f.u.
DFT formation energy: -1.212 eV/atom
Symmetry: C2/m, No. 12

a = 7.301 Å, b = 7.301 Å, c = 7.403 Å
α = 99.53°, β = 99.53°, γ = 119.98°
Sites, in units of the cell vectors:
Sr1 0.170 0.830 0.500
Sr2 0.830 0.170 0.500
Sr3 0.500 0.500 0.500
Pr1 0.334 0.666 0.000
Pr2 0.666 0.334 0.000
U1 0.000 0.000 0.000
P1 0.927 0.619 0.780
P2 0.767 0.767 0.218
P3 0.073 0.381 0.220
P4 0.619 0.927 0.780
P5 0.233 0.233 0.782
P6 0.381 0.073 0.220


No. 9
Entry from Alexandria via LeMat-Bulk: a relaxed structure of VHg (PBE-GGA).

Total magnetic moment: 0.00 μB/f.u.
DFT formation energy: 0.378 eV/atom
Symmetry: C2/m, No. 12

a = 3.023 Å, b = 7.714 Å, c = 6.111 Å
α = 90.00°, β = 94.42°, γ = 90.00°
Sites, in units of the cell vectors:
Hg1 0.500 0.306 0.500
Hg2 0.500 0.694 0.500
Hg3 0.500 0.806 0.000
Hg4 0.500 0.194 0.000
V1 0.063 0.000 0.342
V2 0.937 0.000 0.658
V3 0.063 0.500 0.842
V4 0.937 0.500 0.158


No. 10
Entry from Alexandria via LeMat-Bulk: a relaxed structure of Ca3Cr (PBE-GGA).

Total magnetic moment: 4.92 μB/f.u.
DFT formation energy: 0.406 eV/atom
Symmetry: P4/mmm, No. 123

a = 5.111 Å, b = 5.111 Å, c = 5.134 Å
α = 90.00°, β = 90.00°, γ = 90.03°
Each line ends with the local moment (μB).
Sites, in units of the cell vectors:
Cr1 0.000 0.000 0.000  3.96
Ca1 0.000 0.500 0.500  0.01
Ca2 0.500 0.000 0.500  0.01
Ca3 0.500 0.500 0.000  0.01


No. 11
Entry from Alexandria via LeMat-Bulk: a relaxed structure of SiOsPt3 (PBE-GGA).

Total magnetic moment: 2.57 μB/f.u.
Symmetry: Pm-3m, No. 221
Energy above the most stable polymorph in this dataset: 0.000 eV/atom
ΔE_f (raw): 0.91 eV/atom

a = 4.472 Å, b = 4.472 Å, c = 4.472 Å
α = 90.00°, β = 90.00°, γ = 90.00°
Each line ends with the local moment (μB).
Sites, in units of the cell vectors:
Si1 0.000 0.000 0.000  0.01
Os1 0.500 0.500 0.500  2.19
Pt1 0.000 0.500 0.000  0.04
Pt2 0.000 0.000 0.500  0.03
Pt3 0.500 0.000 0.000  0.16


No. 12
Entry from Alexandria via LeMat-Bulk: a relaxed structure of La3Rh (PBE-GGA).

Total magnetic moment: 0.00 μB/f.u.
DFT formation energy: -0.121 eV/atom
Symmetry: I4/mmm, No. 139

a = 12.054 Å, b = 12.054 Å, c = 12.054 Å
α = 159.11°, β = 159.11°, γ = 29.71°
Sites, in units of the cell vectors:
La1 0.000 0.500 0.500
La2 0.873 0.873 0.000
La3 0.127 0.127 0.000
La4 0.750 0.250 0.500
La5 0.250 0.750 0.500
La6 0.500 0.000 0.500
Rh1 0.634 0.634 0.000
Rh2 0.366 0.366 0.000


No. 13
Entry from Alexandria via LeMat-Bulk: a relaxed structure of Cd4BiPb2 (PBE-GGA).

Total magnetic moment: 0.00 μB/f.u.
DFT formation energy: 0.349 eV/atom
Symmetry: I4/mmm, No. 139
Energy above the most stable polymorph in this dataset: 0.311 eV/atom

a = 5.826 Å, b = 5.826 Å, c = 8.642 Å
α = 109.70°, β = 109.70°, γ = 90.00°
Sites, in units of the cell vectors:
Cd1 0.801 0.801 0.602
Cd2 0.199 0.199 0.398
Cd3 0.000 0.500 0.000
Cd4 0.500 0.000 0.000
Bi1 0.000 0.000 0.000
Pb1 0.605 0.605 0.210
Pb2 0.395 0.395 0.790


No. 14
Entry from Alexandria via LeMat-Bulk: a relaxed structure of ZnSb2TeO (PBE-GGA).

Total magnetic moment: 0.00 μB/f.u.
Symmetry: P4/mmm, No. 123
Energy above the most stable polymorph in this dataset: 0.000 eV/atom
ΔE_f (raw): 0.15 eV/atom

a = 4.717 Å, b = 4.717 Å, c = 5.040 Å
α = 90.00°, β = 90.00°, γ = 90.00°
Sites, in units of the cell vectors:
Sb1 0.000 0.500 0.000
Sb2 0.500 0.000 0.000
Zn1 0.500 0.500 0.500
Te1 0.000 0.000 0.500
O1 0.000 0.000 0.000


No. 15
Entry from Alexandria via LeMat-Bulk: a relaxed structure of La2HfBiW (PBE-GGA).

Total magnetic moment: 0.00 μB/f.u.
DFT formation energy: 1.599 eV/atom
Symmetry: P4/mmm, No. 123

a = 5.915 Å, b = 5.915 Å, c = 5.291 Å
α = 90.00°, β = 90.00°, γ = 90.00°
Sites, in units of the cell vectors:
Hf1 0.000 0.000 0.500
Bi1 0.000 0.000 0.000
W1 0.500 0.500 0.500
La1 0.000 0.500 0.000
La2 0.500 0.000 0.000


No. 16
Entry from Alexandria via LeMat-Bulk: a relaxed structure of GePd (PBE-GGA).

Total magnetic moment: 0.00 μB/f.u.
DFT formation energy: -0.336 eV/atom
Symmetry: P2_1/m, No. 11

a = 2.946 Å, b = 4.875 Å, c = 4.875 Å
α = 90.00°, β = 107.18°, γ = 90.00°
Sites, in units of the cell vectors:
Ge1 0.086 0.750 0.162
Ge2 0.914 0.250 0.838
Pd1 0.806 0.750 0.612
Pd2 0.194 0.250 0.388


No. 17
Entry from Alexandria via LeMat-Bulk: a relaxed structure of TlInNi2 (PBE-GGA).

Total magnetic moment: 0.00 μB/f.u.
DFT formation energy: 0.421 eV/atom
Symmetry: F-43m, No. 216
Energy above the most stable polymorph in this dataset: 0.301 eV/atom

a = 4.584 Å, b = 4.584 Å, c = 4.584 Å
α = 60.00°, β = 60.00°, γ = 60.00°
Sites, in units of the cell vectors:
In1 0.500 0.500 0.500
Ni1 0.000 0.000 0.000
Ni2 0.750 0.750 0.750
Tl1 0.250 0.250 0.250


No. 18
Entry from Alexandria via LeMat-Bulk: a relaxed structure of LaCo2Ru (PBE-GGA).

Total magnetic moment: 3.76 μB/f.u.
DFT formation energy: 0.372 eV/atom
Symmetry: Imm2, No. 44

a = 5.303 Å, b = 5.303 Å, c = 5.303 Å
α = 145.50°, β = 127.05°, γ = 64.75°
Each line ends with the local moment (μB).
Sites, in units of the cell vectors:
Co1 0.991 0.991 0.000  1.47
Co2 0.785 0.285 0.500  1.68
La1 0.503 0.503 0.000  -0.15
Ru1 0.221 0.721 0.500  0.86


No. 19
Entry from Alexandria via LeMat-Bulk: a relaxed structure of CeHo2P3Rh12 (PBE-GGA).

Total magnetic moment: 0.00 μB/f.u.
DFT formation energy: -0.460 eV/atom
Symmetry: R-3m, No. 166

a = 6.708 Å, b = 6.708 Å, c = 6.708 Å
α = 83.18°, β = 83.18°, γ = 83.18°
Sites, in units of the cell vectors:
Ce1 0.000 0.000 0.000
Ho1 0.626 0.626 0.626
Ho2 0.374 0.374 0.374
P1 0.500 0.000 0.000
P2 0.000 0.500 0.000
P3 0.000 0.000 0.500
Rh1 0.369 0.369 0.909
Rh2 0.821 0.821 0.336
Rh3 0.336 0.821 0.821
Rh4 0.909 0.369 0.369
Rh5 0.821 0.336 0.821
Rh6 0.369 0.909 0.369
Rh7 0.631 0.631 0.091
Rh8 0.179 0.179 0.664
Rh9 0.664 0.179 0.179
Rh10 0.091 0.631 0.631
Rh11 0.179 0.664 0.179
Rh12 0.631 0.091 0.631


No. 20
Entry from Alexandria via LeMat-Bulk: a relaxed structure of YTaFe2 (PBE-GGA).

Total magnetic moment: 1.52 μB/f.u.
DFT formation energy: 0.143 eV/atom
Symmetry: Amm2, No. 38

a = 3.665 Å, b = 3.604 Å, c = 5.649 Å
α = 71.38°, β = 90.00°, γ = 90.00°
Each line ends with the local moment (μB).
Sites, in units of the cell vectors:
Fe1 0.000 0.170 0.034  1.23
Fe2 0.500 0.049 0.276  0.94
Ta1 0.000 0.497 0.381  -0.32
Y1 0.500 0.783 0.809  -0.10


No. 21
Entry from Alexandria via LeMat-Bulk: a relaxed structure of ReMo2W4 (PBE-GGA).

Total magnetic moment: 0.00 μB/f.u.
DFT formation energy: 0.628 eV/atom
Symmetry: Cmmm, No. 65
Energy above the most stable polymorph in this dataset: 0.446 eV/atom

a = 4.400 Å, b = 3.013 Å, c = 9.013 Å
α = 99.62°, β = 90.00°, γ = 90.00°
Sites, in units of the cell vectors:
Re1 0.000 0.500 0.000
Mo1 0.500 0.066 0.133
Mo2 0.500 0.934 0.867
W1 0.500 0.312 0.624
W2 0.000 0.180 0.359
W3 0.500 0.688 0.376
W4 0.000 0.820 0.641


No. 22
Entry from Alexandria via LeMat-Bulk: a relaxed structure of HfPd2Pt6 (PBE-GGA).

Total magnetic moment: 0.00 μB/f.u.
DFT formation energy: -0.412 eV/atom
Symmetry: C2/m, No. 12

a = 3.966 Å, b = 6.258 Å, c = 7.031 Å
α = 63.58°, β = 81.97°, γ = 71.71°
Sites, in units of the cell vectors:
Hf1 0.000 0.000 0.000
Pd1 0.500 0.841 0.318
Pd2 0.500 0.159 0.682
Pt1 0.162 0.821 0.686
Pt2 0.838 0.179 0.314
Pt3 0.340 0.326 0.000
Pt4 0.162 0.507 0.314
Pt5 0.838 0.493 0.686
Pt6 0.660 0.674 0.000


No. 23
Entry from Alexandria via LeMat-Bulk: a relaxed structure of LiMg2SnHg5 (PBE-GGA).

Total magnetic moment: 0.00 μB/f.u.
DFT formation energy: -0.138 eV/atom
Symmetry: Cmc2_1, No. 36

a = 4.843 Å, b = 8.632 Å, c = 10.313 Å
α = 90.00°, β = 90.00°, γ = 106.29°
Sites, in units of the cell vectors:
Li1 0.586 0.172 0.001
Li2 0.414 0.828 0.501
Mg1 0.896 0.791 0.786
Mg2 0.105 0.209 0.743
Mg3 0.104 0.209 0.286
Mg4 0.895 0.791 0.243
Sn1 0.797 0.595 0.510
Sn2 0.203 0.405 0.010
Hg1 0.381 0.763 0.005
Hg2 0.705 0.410 0.811
Hg3 0.500 0.999 0.752
Hg4 0.298 0.595 0.701
Hg5 0.995 0.990 0.514
Hg6 0.619 0.237 0.505
Hg7 0.295 0.590 0.311
Hg8 0.500 0.001 0.252
Hg9 0.702 0.405 0.201
Hg10 0.005 0.010 0.014


No. 24
Entry from Alexandria via LeMat-Bulk: a relaxed structure of LiSiGe (PBE-GGA).

Total magnetic moment: 0.00 μB/f.u.
Symmetry: P3m1, No. 156
ΔE_f (raw): 0.03 eV/atom

a = 4.420 Å, b = 3.889 Å, c = 3.889 Å
α = 120.00°, β = 90.00°, γ = 90.00°
Sites, in units of the cell vectors:
Ge1 0.265 0.333 0.667
Si1 0.063 0.000 0.000
Li1 0.671 0.667 0.333